Record 1
## LaTePdI2 (SCAN)

Data for a crystal of LaTePdI2 relaxed with PBEsol.

Summary:
DFT total energy ... -37.5707 eV per atom
Formation energy without anion corrections ... -248 meV per atom
N(E_F) ... 0.6806 states/eV/atom

a b c (Å): 6.104 6.104 6.145
angles (deg): 90.00 90.00 90.00
Space group P4/mmm (No. 123)
Inequivalent atoms, fractional coordinates:
La  0.000  0.000  0.000
Te  0.000  0.000  0.500
Pd  0.500  0.500  0.500
I  0.000  0.500  0.000

=====

Record 2
## Hg2RuPb (SCAN)

Data for a crystal of Hg2RuPb relaxed with PBEsol.

Summary:
DFT total energy ... -61.3381 eV per atom
N(E_F) ... 0.6627 states/eV/atom
Formation enthalpy at 0 K ... 0.40 eV/atom

a b c (Å): 9.912 3.366 6.029
angles (deg): 90.00 122.48 90.00
Space group Cm (No. 8)
Inequivalent atoms, fractional coordinates:
Hg  0.000  0.000  0.000
Hg  0.215  0.000  0.811
Ru  0.192  0.500  0.431
Pb  0.402  0.000  0.412

=====

Record 3
## Cr2Ag (SCAN)

Data for a crystal of Cr2Ag relaxed with PBEsol.

Summary:
DFT total energy ... -22.0036 eV per atom
N(E_F) ... 1.2026 states/eV/atom
Formation enthalpy at 0 K ... 0.71 eV/atom

a b c (Å): 2.5796 2.5796 6.8326
angles (deg): 90.00 90.00 120.00
Space group P-3m1 (No. 164)
Inequivalent atoms, fractional coordinates:
Cr  0.3333  0.6667  0.1535
Ag  0.0000  0.0000  0.5000